# 1
VASP calculation (PBE) on an optimized crystal structure of CrMoOs2.

Properties
Energy above the most stable polymorph in this dataset   5.5 kJ/mol of atoms
Formation energy from the elements   3.2 kcal/mol of atoms
Total energy   -10.590 eV/atom

Unit cell a=4.677 b=4.677 c=4.739 alpha=99.76 beta=99.76 gamma=33.90
Positions (direct):
Cr 0.000 0.000 0.000
Mo 0.500 0.500 0.500
Os 0.257 0.257 0.767
Os 0.743 0.743 0.233

# 2
VASP calculation (PBE) on an optimized crystal structure of Cr2MoOs.

Properties
Energy above the most stable polymorph in this dataset   6.7 kJ/mol of atoms
Formation energy from the elements   3.5 kcal/mol of atoms
Total energy   -10.175 eV/atom

Unit cell a=4.268 b=4.268 c=4.268 alpha=60.00 beta=60.00 gamma=60.00
Positions (direct):
Cr 0.000 0.000 0.000
Cr 0.250 0.250 0.250
Mo 0.750 0.750 0.750
Os 0.500 0.500 0.500

# 3
VASP calculation (PBE) on an optimized crystal structure of CrMoOs2.

Properties
Energy above the most stable polymorph in this dataset   2.1 kJ/mol of atoms
Formation energy from the elements   2.4 kcal/mol of atoms
Total energy   -10.625 eV/atom

Unit cell a=2.742 b=3.778 c=5.492 alpha=90.00 beta=90.00 gamma=90.00
Positions (direct):
Cr 0.000 0.000 0.000
Mo 0.000 0.000 0.500
Os 0.500 0.500 0.235
Os 0.500 0.500 0.765

# 4
VASP calculation (PBE) on an optimized crystal structure of Cr3MoOs.

Properties
Energy above the most stable polymorph in this dataset   0.0 kJ/mol of atoms
Formation energy from the elements   36.6 kcal/mol of atoms
Total energy   -8.600 eV/atom

Unit cell a=4.608 b=4.608 c=4.608 alpha=90.00 beta=90.00 gamma=90.00
Positions (direct):
Cr 0.000 0.000 0.500
Cr 0.000 0.500 0.000
Cr 0.500 0.000 0.000
Mo 0.500 0.500 0.500
Os 0.000 0.000 0.000

# 5
VASP calculation (PBE) on an optimized crystal structure of CrMoOs2.

Properties
Energy above the most stable polymorph in this dataset   9.8 kJ/mol of atoms
Formation energy from the elements   4.2 kcal/mol of atoms
Total energy   -10.546 eV/atom

Unit cell a=2.714 b=2.714 c=7.730 alpha=90.00 beta=90.00 gamma=90.00
Positions (direct):
Cr 0.000 0.000 0.000
Mo 0.500 0.500 0.255
Os 0.000 0.000 0.520
Os 0.500 0.500 0.771

# 6
VASP calculation (PBE) on an optimized crystal structure of Cr2MoOs.

Properties
Energy above the most stable polymorph in this dataset   5.5 kJ/mol of atoms
Formation energy from the elements   3.2 kcal/mol of atoms
Total energy   -10.188 eV/atom

Unit cell a=2.674 b=4.116 c=5.047 alpha=90.00 beta=102.76 gamma=90.00
Positions (direct):
Cr 0.000 0.000 0.000
Cr 0.163 0.500 0.784
Mo 0.728 0.500 0.266
Os 0.437 0.000 0.534

# 7
VASP calculation (PBE) on an optimized crystal structure of CrMoOs2.

Properties
Energy above the most stable polymorph in this dataset   4.7 kJ/mol of atoms
Formation energy from the elements   3.0 kcal/mol of atoms
Total energy   -10.599 eV/atom

Unit cell a=4.733 b=4.733 c=4.733 alpha=132.33 beta=132.33 gamma=69.70
Positions (direct):
Cr 0.000 0.000 0.000
Mo 0.250 0.750 0.500
Os 0.500 0.500 0.000
Os 0.750 0.250 0.500

# 8
VASP calculation (PBE) on an optimized crystal structure of CrMoOs2.

Properties
Energy above the most stable polymorph in this dataset   7.0 kJ/mol of atoms
Formation energy from the elements   3.5 kcal/mol of atoms
Total energy   -10.575 eV/atom

Unit cell a=9.016 b=9.016 c=9.016 alpha=17.34 beta=17.34 gamma=17.34
Positions (direct):
Cr 0.000 0.000 0.000
Mo 0.500 0.500 0.500
Os 0.254 0.254 0.254
Os 0.746 0.746 0.746